Record 1
# PBE-GGA Sc4GaCu2Ag, relaxed
data_Sc4GaCu2Ag
_chemical_formula_sum 'Sc12 Ga3 Cu6 Ag3'
_cell_length_a 4.7107
_cell_length_b 4.7107
_cell_length_c 23.1920
_cell_angle_alpha 90.00
_cell_angle_beta 90.00
_cell_angle_gamma 120.00
_space_group_name_H-M_alt 'R -3 m'
_space_group_IT_number 166
_space_group_name_Hall '-R 3 2"'
loop_
_atom_site_label
_atom_site_type_symbol
_atom_site_fract_x
_atom_site_fract_y
_atom_site_fract_z
Sc1 Sc 0.0000 0.0000 0.1235
Sc2 Sc 0.0000 0.0000 0.3735
Ga1 Ga 0.0000 0.0000 0.0000
Cu1 Cu 0.0000 0.0000 0.2503
Ag1 Ag 0.0000 0.0000 0.5000
# Total energy, eV/atom: -5.280
# Size of the total moment, μB/cell: 0.0
# Volume, Å³/cell: 445.7

***

Record 2
# PBE-GGA SiB2Br, relaxed
data_SiB2Br
_chemical_formula_sum 'Si2 B4 Br2'
_cell_length_a 3.381
_cell_length_b 4.501
_cell_length_c 10.594
_cell_angle_alpha 99.45
_cell_angle_beta 91.32
_cell_angle_gamma 108.43
_space_group_name_H-M_alt 'P 1'
_space_group_IT_number 1
loop_
_space_group_symop_operation_xyz
'x,y,z'
loop_
_atom_site_label
_atom_site_type_symbol
_atom_site_fract_x
_atom_site_fract_y
_atom_site_fract_z
Si1 Si 0.000 0.000 0.000
Si2 Si 0.360 0.392 0.817
B1 B 0.358 0.788 0.752
B2 B 0.440 0.856 0.922
B3 B 0.742 0.133 0.826
B4 B 0.882 0.842 0.696
Br1 Br 0.117 0.308 0.192
Br2 Br 0.880 0.897 0.515
# Total energy, eV/atom: -5.073
# Size of the total moment, μB/cell: 0.0
# Volume, Å³/cell: 150.4
# Raw formation energy, eV/atom: 0.040
# Excess energy over the best structure of this formula in the dataset, meV/atom: 43

***

Record 3
# PBE-GGA Li3Cu2Ge2, relaxed
data_Li3Cu2Ge2
_chemical_formula_sum 'Li3 Cu2 Ge2'
_cell_length_a 4.090
_cell_length_b 2.690
_cell_length_c 9.696
_cell_angle_alpha 90.00
_cell_angle_beta 102.11
_cell_angle_gamma 90.00
_space_group_name_H-M_alt 'P 1 2/m 1'
_space_group_IT_number 10
loop_
_space_group_symop_operation_xyz
'x,y,z'
'-x,-y,-z'
'-x,y,-z'
'x,-y,z'
loop_
_atom_site_label
_atom_site_type_symbol
_atom_site_fract_x
_atom_site_fract_y
_atom_site_fract_z
Li1 Li 0.000 0.000 0.000
Li2 Li 0.289 0.000 0.579
Cu1 Cu 0.135 0.000 0.268
Ge1 Ge 0.419 0.500 0.841
# Total energy, eV/atom: -3.355
# Size of the total moment, μB/cell: 0.0
# Volume, Å³/cell: 104.3
# Excess energy over the best structure of this formula in the dataset, meV/atom: 238

***

Record 4
# PBE-GGA Hg2RhAu, relaxed
data_Hg2RhAu
_chemical_formula_sum 'Hg8 Rh4 Au4'
_cell_length_a 6.684
_cell_length_b 6.684
_cell_length_c 6.684
_cell_angle_alpha 90.00
_cell_angle_beta 90.00
_cell_angle_gamma 90.00
_space_group_name_H-M_alt 'F -4 3 m'
_space_group_IT_number 216
_space_group_name_Hall 'F -4 2 3'
loop_
_atom_site_label
_atom_site_type_symbol
_atom_site_fract_x
_atom_site_fract_y
_atom_site_fract_z
Hg1 Hg 0.000 0.000 0.000
Hg2 Hg 0.250 0.250 0.250
Rh1 Rh 0.250 0.250 0.750
Au1 Au 0.000 0.000 0.500
# Total energy, eV/atom: -2.574
# Size of the total moment, μB/cell: 0.0
# Volume, Å³/cell: 298.6

***

Record 5
# PBE-GGA Nb2HgBr, relaxed
data_Nb2HgBr
_chemical_formula_sum 'Nb8 Hg4 Br4'
_cell_length_a 4.151
_cell_length_b 4.151
_cell_length_c 20.130
_cell_angle_alpha 90.00
_cell_angle_beta 90.00
_cell_angle_gamma 90.00
_space_group_name_H-M_alt 'I -4 2 d'
_space_group_IT_number 122
_space_group_name_Hall 'I -4 2bw'
loop_
_atom_site_label
_atom_site_type_symbol
_atom_site_fract_x
_atom_site_fract_y
_atom_site_fract_z
Nb1 Nb 0.240 0.250 0.125
Hg1 Hg 0.000 0.000 0.000
Br1 Br 0.000 0.000 0.500
# Total energy, eV/atom: -4.875
# Size of the total moment, μB/cell: 0.0
# Volume, Å³/cell: 346.8
# Raw formation energy, eV/atom: 0.654
# Excess energy over the best structure of this formula in the dataset, meV/atom: 104

***

Record 6
# PBE-GGA Nd3Dy4Cd, relaxed
data_Nd3Dy4Cd
_chemical_formula_sum 'Nd3 Dy4 Cd1'
_cell_length_a 3.619
_cell_length_b 3.619
_cell_length_c 19.288
_cell_angle_alpha 90.00
_cell_angle_beta 90.00
_cell_angle_gamma 90.00
_space_group_name_H-M_alt 'P 4/m m m'
_space_group_IT_number 123
_space_group_name_Hall '-P 4 2'
loop_
_atom_site_label
_atom_site_type_symbol
_atom_site_fract_x
_atom_site_fract_y
_atom_site_fract_z
Nd1 Nd 0.000 0.000 0.000
Nd2 Nd 0.000 0.000 0.264
Dy1 Dy 0.500 0.500 0.132
Dy2 Dy 0.500 0.500 0.395
Cd1 Cd 0.000 0.000 0.500
# Total energy, eV/atom: -4.271
# Size of the total moment, μB/cell: 0.0
# Volume, Å³/cell: 252.6
# Excess energy over the best structure of this formula in the dataset, meV/atom: 0

***

Record 7
# PBE-GGA KLiCd2, relaxed
data_KLiCd2
_chemical_formula_sum 'K1 Li1 Cd2'
_cell_length_a 4.852
_cell_length_b 4.867
_cell_length_c 4.981
_cell_angle_alpha 90.00
_cell_angle_beta 90.00
_cell_angle_gamma 90.00
_space_group_name_H-M_alt 'P m m m'
_space_group_IT_number 47
loop_
_space_group_symop_operation_xyz
'x,y,z'
'-x,-y,-z'
'-x,-y,z'
'x,y,-z'
'x,-y,-z'
'-x,y,z'
'-x,y,-z'
'x,-y,z'
loop_
_atom_site_label
_atom_site_type_symbol
_atom_site_fract_x
_atom_site_fract_y
_atom_site_fract_z
K1 K 0.000 0.000 0.000
Li1 Li 0.500 0.500 0.000
Cd1 Cd 0.000 0.500 0.500
Cd2 Cd 0.500 0.000 0.500
# Total energy, eV/atom: -1.160
# Size of the total moment, μB/cell: 0.0
# Volume, Å³/cell: 117.6
# Excess energy over the best structure of this formula in the dataset, meV/atom: 162

***

Record 8
# PBE-GGA DyLuI, relaxed
data_DyLuI
_chemical_formula_sum 'Dy1 Lu1 I1'
_cell_length_a 5.3758
_cell_length_b 5.3758
_cell_length_c 3.7248
_cell_angle_alpha 90.00
_cell_angle_beta 90.00
_cell_angle_gamma 120.00
_space_group_name_H-M_alt 'P 3 m 1'
_space_group_IT_number 156
loop_
_space_group_symop_operation_xyz
'x,y,z'
'-y,x-y,z'
'-x+y,-x,z'
'-y,-x,z'
'-x+y,y,z'
'x,x-y,z'
loop_
_atom_site_label
_atom_site_type_symbol
_atom_site_fract_x
_atom_site_fract_y
_atom_site_fract_z
Dy1 Dy 0.0000 0.0000 0.0000
Lu1 Lu 0.6667 0.3333 0.5209
I1 I 0.3333 0.6667 0.7416
# Total energy, eV/atom: -3.696
# Size of the total moment, μB/cell: 0.0
# Volume, Å³/cell: 93.2
# Raw formation energy, eV/atom: -0.138

***

Record 9
# PBE-GGA Ce2CuPb, relaxed
data_Ce2CuPb
_chemical_formula_sum 'Ce6 Cu3 Pb3'
_cell_length_a 3.4114
_cell_length_b 3.4114
_cell_length_c 30.4647
_cell_angle_alpha 90.00
_cell_angle_beta 90.00
_cell_angle_gamma 120.00
_space_group_name_H-M_alt 'R -3 m'
_space_group_IT_number 166
_space_group_name_Hall '-R 3 2"'
loop_
_atom_site_label
_atom_site_type_symbol
_atom_site_fract_x
_atom_site_fract_y
_atom_site_fract_z
Ce1 Ce 0.0000 0.0000 0.2392
Cu1 Cu 0.0000 0.0000 0.5000
Pb1 Pb 0.0000 0.0000 0.0000
# Total energy, eV/atom: -4.923
# Size of the total moment, μB/cell: 4.4
# Volume, Å³/cell: 307.0

***

Record 10
# PBE-GGA NaCePt, relaxed
data_NaCePt
_chemical_formula_sum 'Na8 Ce8 Pt8'
_cell_length_a 5.748
_cell_length_b 5.889
_cell_length_c 17.963
_cell_angle_alpha 90.00
_cell_angle_beta 90.00
_cell_angle_gamma 90.00
_space_group_name_H-M_alt 'F m m m'
_space_group_IT_number 69
_space_group_name_Hall '-F 2 2'
loop_
_atom_site_label
_atom_site_type_symbol
_atom_site_fract_x
_atom_site_fract_y
_atom_site_fract_z
Na1 Na 0.000 0.234 0.000
Ce1 Ce 0.000 0.000 0.321
Pt1 Pt 0.000 0.000 0.157
# Total energy, eV/atom: -4.996
# Size of the total moment, μB/cell: 6.3
# Volume, Å³/cell: 608.0

***

Record 11
# PBE-GGA PrAlZn2Ga, relaxed
data_PrAlZn2Ga
_chemical_formula_sum 'Pr2 Al2 Zn4 Ga2'
_cell_length_a 4.209
_cell_length_b 4.224
_cell_length_c 10.965
_cell_angle_alpha 90.00
_cell_angle_beta 90.00
_cell_angle_gamma 90.00
_space_group_name_H-M_alt 'I m m 2'
_space_group_IT_number 44
loop_
_space_group_symop_operation_xyz
'x,y,z'
'-x,-y,z'
'-x,y,z'
'x,-y,z'
'x+1/2,y+1/2,z+1/2'
'-x+1/2,-y+1/2,z+1/2'
'-x+1/2,y+1/2,z+1/2'
'x+1/2,-y+1/2,z+1/2'
loop_
_atom_site_label
_atom_site_type_symbol
_atom_site_fract_x
_atom_site_fract_y
_atom_site_fract_z
Pr1 Pr 0.000 0.000 0.000
Al1 Al 0.000 0.500 0.750
Zn1 Zn 0.000 0.000 0.618
Zn2 Zn 0.000 0.500 0.251
Ga1 Ga 0.000 0.000 0.392
# Total energy, eV/atom: -3.283
# Size of the total moment, μB/cell: 0.0
# Volume, Å³/cell: 195.0

***

Record 12
# PBE-GGA Ho6BiPb2Se3, relaxed
data_Ho6BiPb2Se3
_chemical_formula_sum 'Ho12 Bi2 Pb4 Se6'
_cell_length_a 18.549
_cell_length_b 4.266
_cell_length_c 8.526
_cell_angle_alpha 90.00
_cell_angle_beta 102.77
_cell_angle_gamma 90.00
_space_group_name_H-M_alt 'C 1 2/m 1'
_space_group_IT_number 12
loop_
_space_group_symop_operation_xyz
'x,y,z'
'-x,-y,-z'
'-x,y,-z'
'x,-y,z'
'x+1/2,y+1/2,z'
'-x+1/2,-y+1/2,-z'
'-x+1/2,y+1/2,-z'
'x+1/2,-y+1/2,z'
loop_
_atom_site_label
_atom_site_type_symbol
_atom_site_fract_x
_atom_site_fract_y
_atom_site_fract_z
Ho1 Ho 0.001 0.000 0.239
Ho2 Ho 0.165 0.500 0.089
Ho3 Ho 0.171 0.500 0.580
Bi1 Bi 0.000 0.500 0.500
Pb1 Pb 0.167 0.000 0.833
Se1 Se 0.000 0.500 0.000
Se2 Se 0.165 0.000 0.333
# Total energy, eV/atom: -5.243
# Size of the total moment, μB/cell: 0.0
# Volume, Å³/cell: 657.9
# Raw formation energy, eV/atom: -1.142

***

Record 13
# PBE-GGA K2Ac3Te3O2, relaxed
data_K2Ac3Te3O2
_chemical_formula_sum 'K4 Ac6 Te6 O4'
_cell_length_a 4.830
_cell_length_b 4.830
_cell_length_c 28.162
_cell_angle_alpha 90.00
_cell_angle_beta 90.00
_cell_angle_gamma 90.00
_space_group_name_H-M_alt 'I 4/m m m'
_space_group_IT_number 139
_space_group_name_Hall '-I 4 2'
loop_
_atom_site_label
_atom_site_type_symbol
_atom_site_fract_x
_atom_site_fract_y
_atom_site_fract_z
K1 K 0.000 0.500 0.250
Ac1 Ac 0.000 0.000 0.000
Ac2 Ac 0.000 0.000 0.370
Te1 Te 0.000 0.000 0.121
Te2 Te 0.000 0.000 0.500
O1 O 0.000 0.000 0.295
# Total energy, eV/atom: -5.219
# Size of the total moment, μB/cell: 0.0
# Volume, Å³/cell: 656.9
# Raw formation energy, eV/atom: -1.833

***

Record 14
# PBE-GGA VCr3H4, relaxed
data_VCr3H4
_chemical_formula_sum 'V1 Cr3 H4'
_cell_length_a 3.816
_cell_length_b 3.816
_cell_length_c 3.816
_cell_angle_alpha 90.00
_cell_angle_beta 90.00
_cell_angle_gamma 90.00
_space_group_name_H-M_alt 'P m -3 m'
_space_group_IT_number 221
_space_group_name_Hall '-P 4 2 3'
loop_
_atom_site_label
_atom_site_type_symbol
_atom_site_fract_x
_atom_site_fract_y
_atom_site_fract_z
V1 V 0.000 0.000 0.000
Cr1 Cr 0.000 0.500 0.500
H1 H 0.000 0.000 0.500
H2 H 0.500 0.500 0.500
# Total energy, eV/atom: -6.472
# Size of the total moment, μB/cell: 0.0
# Volume, Å³/cell: 55.6

***

Record 15
# PBE-GGA Cd3CoSe, relaxed
data_Cd3CoSe
_chemical_formula_sum 'Cd3 Co1 Se1'
_cell_length_a 4.983
_cell_length_b 4.983
_cell_length_c 4.983
_cell_angle_alpha 90.00
_cell_angle_beta 90.00
_cell_angle_gamma 90.00
_space_group_name_H-M_alt 'P m -3 m'
_space_group_IT_number 221
_space_group_name_Hall '-P 4 2 3'
loop_
_atom_site_label
_atom_site_type_symbol
_atom_site_fract_x
_atom_site_fract_y
_atom_site_fract_z
Cd1 Cd 0.000 0.000 0.500
Co1 Co 0.000 0.000 0.000
Se1 Se 0.500 0.500 0.500
# Total energy, eV/atom: -2.170
# Size of the total moment, μB/cell: 1.3
# Volume, Å³/cell: 123.8
# Raw formation energy, eV/atom: 0.497
# Excess energy over the best structure of this formula in the dataset, meV/atom: 0

***

Record 16
# PBE-GGA PPb2I, relaxed
data_PPb2I
_chemical_formula_sum 'P3 Pb6 I3'
_cell_length_a 4.3079
_cell_length_b 4.3079
_cell_length_c 24.3549
_cell_angle_alpha 90.00
_cell_angle_beta 90.00
_cell_angle_gamma 120.00
_space_group_name_H-M_alt 'R 3 m'
_space_group_IT_number 160
_space_group_name_Hall 'R 3 -2"'
loop_
_atom_site_label
_atom_site_type_symbol
_atom_site_fract_x
_atom_site_fract_y
_atom_site_fract_z
P1 P 0.0000 0.0000 0.0000
Pb1 Pb 0.0000 0.0000 0.3990
Pb2 Pb 0.0000 0.0000 0.6054
I1 I 0.0000 0.0000 0.8264
# Total energy, eV/atom: -3.811
# Size of the total moment, μB/cell: 0.0
# Volume, Å³/cell: 391.4
# Raw formation energy, eV/atom: -0.217
# Excess energy over the best structure of this formula in the dataset, meV/atom: 22

***

Record 17
# PBE-GGA TmZrCuAu, relaxed
data_TmZrCuAu
_chemical_formula_sum 'Tm4 Zr4 Cu4 Au4'
_cell_length_a 6.863
_cell_length_b 6.863
_cell_length_c 6.863
_cell_angle_alpha 90.00
_cell_angle_beta 90.00
_cell_angle_gamma 90.00
_space_group_name_H-M_alt 'F -4 3 m'
_space_group_IT_number 216
_space_group_name_Hall 'F -4 2 3'
loop_
_atom_site_label
_atom_site_type_symbol
_atom_site_fract_x
_atom_site_fract_y
_atom_site_fract_z
Tm1 Tm 0.000 0.000 0.000
Zr1 Zr 0.000 0.000 0.500
Cu1 Cu 0.250 0.250 0.250
Au1 Au 0.250 0.250 0.750
# Total energy, eV/atom: -5.470
# Size of the total moment, μB/cell: 0.0
# Volume, Å³/cell: 323.3

***

Record 18
# PBE-GGA NdPbBr5, relaxed
data_NdPbBr5
_chemical_formula_sum 'Nd2 Pb2 Br10'
_cell_length_a 8.477
_cell_length_b 4.395
_cell_length_c 14.027
_cell_angle_alpha 90.00
_cell_angle_beta 93.24
_cell_angle_gamma 90.00
_space_group_name_H-M_alt 'P 1 21/m 1'
_space_group_IT_number 11
loop_
_space_group_symop_operation_xyz
'x,y,z'
'-x,-y,-z'
'-x,y+1/2,-z'
'x,-y+1/2,z'
loop_
_atom_site_label
_atom_site_type_symbol
_atom_site_fract_x
_atom_site_fract_y
_atom_site_fract_z
Nd1 Nd 0.085 0.250 0.149
Pb1 Pb 0.410 0.750 0.362
Br1 Br 0.115 0.250 0.794
Br2 Br 0.144 0.250 0.362
Br3 Br 0.180 0.750 0.015
Br4 Br 0.354 0.750 0.571
Br5 Br 0.424 0.250 0.181
# Total energy, eV/atom: -3.848
# Size of the total moment, μB/cell: 0.0
# Volume, Å³/cell: 521.7
# Raw formation energy, eV/atom: -1.442

***

Record 19
# PBE-GGA Mn4V2Pt, relaxed
data_Mn4V2Pt
_chemical_formula_sum 'Mn8 V4 Pt2'
_cell_length_a 4.695
_cell_length_b 4.695
_cell_length_c 12.605
_cell_angle_alpha 90.00
_cell_angle_beta 90.00
_cell_angle_gamma 90.00
_space_group_name_H-M_alt 'I 4/m m m'
_space_group_IT_number 139
_space_group_name_Hall '-I 4 2'
loop_
_atom_site_label
_atom_site_type_symbol
_atom_site_fract_x
_atom_site_fract_y
_atom_site_fract_z
Mn1 Mn 0.000 0.000 0.201
Mn2 Mn 0.000 0.500 0.000
V1 V 0.000 0.000 0.390
Pt1 Pt 0.000 0.000 0.000
# Total energy, eV/atom: -7.756
# Size of the total moment, μB/cell: 18.9
# Volume, Å³/cell: 277.8

***

Record 20
# PBE-GGA Pa2AlHg, relaxed
data_Pa2AlHg
_chemical_formula_sum 'Pa8 Al4 Hg4'
_cell_length_a 7.313
_cell_length_b 7.313
_cell_length_c 7.313
_cell_angle_alpha 90.00
_cell_angle_beta 90.00
_cell_angle_gamma 90.00
_space_group_name_H-M_alt 'F m -3 m'
_space_group_IT_number 225
_space_group_name_Hall '-F 4 2 3'
loop_
_atom_site_label
_atom_site_type_symbol
_atom_site_fract_x
_atom_site_fract_y
_atom_site_fract_z
Pa1 Pa 0.250 0.250 0.250
Al1 Al 0.000 0.000 0.000
Hg1 Hg 0.000 0.000 0.500
# Total energy, eV/atom: -5.540
# Size of the total moment, μB/cell: 7.8
# Volume, Å³/cell: 391.2
# Excess energy over the best structure of this formula in the dataset, meV/atom: 269